Entry from OQMD: an optimized crystal structure of PrCd20Pt2 (PBE).

## Properties
Space-group type = No. 227
E_form = -0.1956 eV/atom
Volume = 976 Å³ per cell
E = -1.7084 eV/atom

Cell lengths 11.135, 11.135, 11.135 Å; angles 60.00, 60.00, 60.00 degrees
Element x y z (fractional)
1 Cd 0.112 0.112 0.388
2 Cd 0.388 0.112 0.388
3 Cd 0.568 0.303 0.826
4 Cd 0.112 0.388 0.112
5 Cd 0.947 0.947 0.682
6 Cd 0.424 0.947 0.682
7 Cd 0.125 0.625 0.625
8 Cd 0.947 0.424 0.682
9 Cd 0.625 0.625 0.625
10 Cd 0.862 0.862 0.138
11 Cd 0.388 0.388 0.112
12 Cd 0.303 0.826 0.568
13 Cd 0.568 0.826 0.303
14 Cd 0.625 0.625 0.125
15 Cd 0.862 0.138 0.138
16 Cd 0.303 0.303 0.826
17 Cd 0.303 0.826 0.303
18 Cd 0.947 0.947 0.424
19 Cd 0.947 0.424 0.947
20 Cd 0.138 0.862 0.138
21 Cd 0.568 0.303 0.303
22 Cd 0.138 0.138 0.862
23 Cd 0.682 0.424 0.947
24 Cd 0.303 0.568 0.826
25 Cd 0.625 0.125 0.625
26 Cd 0.862 0.138 0.862
27 Cd 0.138 0.862 0.862
28 Cd 0.947 0.682 0.424
29 Cd 0.303 0.303 0.568
30 Cd 0.682 0.947 0.424
31 Cd 0.424 0.947 0.947
32 Cd 0.388 0.112 0.112
33 Cd 0.826 0.303 0.303
34 Cd 0.112 0.388 0.388
35 Cd 0.682 0.947 0.947
36 Cd 0.303 0.568 0.303
37 Cd 0.424 0.682 0.947
38 Cd 0.947 0.682 0.947
39 Cd 0.826 0.568 0.303
40 Cd 0.826 0.303 0.568
41 Pr 0.500 0.500 0.500
42 Pr 0.750 0.750 0.750
43 Pt 0.125 0.125 0.125
44 Pt 0.625 0.125 0.125
45 Pt 0.125 0.625 0.125
46 Pt 0.125 0.125 0.625